Compound: Pm2PaCrO8
Source: Alexandria
Functional: PBE with a Hubbard U
Structure: optimized geometry

The space group is P-1 (No. 2) and the conventional cell measures 5.0593, 5.1133 and 6.8096 Å, with angles of 90.03, 90.13 and 91.05 degrees. The asymmetric unit holds Pm at (0.0068, 0.0059, 0.2580), Pa at (0.5000, 0.5000, 0.0000), Cr at (0.5000, 0.5000, 0.5000), O at (0.1991, 0.1996, 0.9964), O at (0.2511, 0.2528, 0.5052), O at (0.3185, 0.6734, 0.2681) and O at (0.3256, 0.6811, 0.7315).

The calculation puts the raw total energy at -8.2636 eV per atom. The magnetic moment is 0.968 μB/f.u. Its density is 6.61 g cm⁻³.